(1)
PBE-GGA AlHg2Te4Pb, relaxed; SG = No. 42; calculated volume = 36.4 Å³ per atom; ΔE_f (raw) = -1.55 eV per formula unit
1.0
0.0000 5.4060 5.9897
4.4937 0.0000 5.9897
4.4937 5.4060 0.0000
Al Hg Te Pb
1 2 4 1
direct
0.0000 0.0000 0.0000
0.2700 0.2700 0.2300
0.7700 0.7700 0.7300
0.1005 0.6264 0.8995
0.3204 0.8973 0.1027
0.6264 0.1005 0.3736
0.8973 0.3204 0.6796
0.5341 0.5341 0.4659


(2)
PBE-GGA Tl3GeAu3, relaxed; SG = No. 12; calculated volume = 26.0 Å³ per atom; formation energy from the elements = -0.001 eV per atom
1.0
3.9275 -6.7113 0.0000
3.9275 6.7113 0.0000
-2.0283 0.0000 6.9053
Tl Ge Au
6 2 6
direct
0.1960 0.8040 0.0000
0.2703 0.7297 0.5000
0.3770 0.3770 0.1652
0.6230 0.6230 0.8348
0.7297 0.2703 0.5000
0.8040 0.1960 0.0000
0.1913 0.1913 0.5448
0.8087 0.8087 0.4552
0.0108 0.0108 0.8075
0.1387 0.4426 0.7684
0.4426 0.1387 0.7684
0.5574 0.8613 0.2316
0.8613 0.5574 0.2316
0.9892 0.9892 0.1925


(3)
PBE-GGA ErTiHg2, relaxed; SG = No. 123; calculated volume = 22.0 Å³ per atom; relative energy among the computed polymorphs = 13.0 meV/atom; formation energy from the elements = -0.175 eV per atom
1.0
4.6107 0.0000 0.0000
0.0000 4.6107 0.0000
0.0000 0.0000 4.1476
Er Ti Hg
1 1 2
direct
0.0000 0.0000 0.0000
0.5000 0.5000 0.0000
0.0000 0.5000 0.5000
0.5000 0.0000 0.5000


(4)
PBE-GGA K2NaAgHg6, relaxed; SG = No. 225; calculated volume = 36.9 Å³ per atom; formation energy from the elements = -0.067 eV per atom
1.0
0.0000 5.6943 5.6943
5.6943 0.0000 5.6943
5.6943 5.6943 0.0000
K Na Ag Hg
2 1 1 6
direct
0.2500 0.2500 0.2500
0.7500 0.7500 0.7500
0.0000 0.0000 0.0000
0.5000 0.5000 0.5000
0.2539 0.2539 0.7461
0.2539 0.7461 0.2539
0.2539 0.7461 0.7461
0.7461 0.2539 0.2539
0.7461 0.2539 0.7461
0.7461 0.7461 0.2539


(5)
PBE-GGA NaGaCuNi, relaxed; SG = No. 1; calculated volume = 19.5 Å³ per atom; relative energy among the computed polymorphs = 0.0 meV/atom; formation energy from the elements = -0.039 eV per atom
1.0
4.1634 0.0000 0.0000
2.0718 3.6218 0.0000
2.0712 1.2186 5.1655
Na Ga Cu Ni
1 1 1 1
direct
0.0000 0.0000 0.0000
0.4952 0.4948 0.5123
0.1847 0.1824 0.4467
0.8179 0.8163 0.5466